! Ac2AlSi3 (GGA-PBE, optimized geometry); values from VASP
! ρ: 6.42 g/cm³
! E_form (uncorrected): -0.569 eV/atom
! D(E_F): 0.36 states/eV per atom
! SG: Imm2
&SYSTEM
  ibrav = 0, nat = 6, ntyp = 3
/
ATOMIC_SPECIES
Ac 227.00 Ac.upf
Al 26.98 Al.upf
Si 28.09 Si.upf
CELL_PARAMETERS angstrom
-2.244 2.260 7.210
2.244 -2.260 7.210
2.244 2.260 -7.210
ATOMIC_POSITIONS angstrom
Ac 0.000 0.000 0.000
Ac 0.000 2.260 3.503
Al 0.000 0.000 5.959
Si 2.244 0.000 2.336
Si 2.244 0.000 4.726
Si 0.000 0.000 8.425